[1]
# PBE-GGA ScPaRh, optimized geometry
data_ScPaRh
_chemical_formula_sum 'Sc4 Pa4 Rh4'
_cell_length_a 6.584
_cell_length_b 6.584
_cell_length_c 6.584
_cell_angle_alpha 90.00
_cell_angle_beta 90.00
_cell_angle_gamma 90.00
_space_group_name_H-M_alt 'F -4 3 m'
_space_group_IT_number 216
_space_group_name_Hall 'F -4 2 3'
loop_
_atom_site_label
_atom_site_type_symbol
_atom_site_fract_x
_atom_site_fract_y
_atom_site_fract_z
_atom_site_occupancy
Sc1 Sc 0.000 0.000 0.000 1
Pa1 Pa 0.000 0.000 0.500 1
Rh1 Rh 0.250 0.250 0.750 1
# Spin magnetization   0.038 Bohr magnetons per cell
# Uncorrected energy   -7.95 eV/atom
# Excess energy over the best structure of this formula in the dataset   233.4 meV per atom
# Crystal system   cubic

---

[2]
# PBE-GGA MgCd3Pb, optimized geometry
data_MgCd3Pb
_chemical_formula_sum 'Mg1 Cd3 Pb1'
_cell_length_a 4.097
_cell_length_b 4.097
_cell_length_c 7.948
_cell_angle_alpha 90.00
_cell_angle_beta 90.00
_cell_angle_gamma 90.00
_space_group_name_H-M_alt 'P 4 m m'
_space_group_IT_number 99
loop_
_space_group_symop_operation_xyz
'x,y,z'
'-y,x,z'
'-x,-y,z'
'y,-x,z'
'-x,y,z'
'y,x,z'
'x,-y,z'
'-y,-x,z'
loop_
_atom_site_label
_atom_site_type_symbol
_atom_site_fract_x
_atom_site_fract_y
_atom_site_fract_z
_atom_site_occupancy
Mg1 Mg 0.000 0.000 0.000 1
Cd1 Cd 0.000 0.500 0.542 1
Cd2 Cd 0.500 0.500 0.829 1
Pb1 Pb 0.500 0.500 0.217 1
# Spin magnetization   0.000 Bohr magnetons per cell
# Uncorrected energy   -1.50 eV/atom
# Excess energy over the best structure of this formula in the dataset   107.8 meV per atom
# Crystal system   tetragonal

---

Number 1: DFT formation energy -228 meV/atom. Number 2: DFT formation energy 107 meV/atom.